[1]
# U2PaOs, optimized geometry, DFT PBE
# ΔE_f in eV/atom: 0.055
# Excess energy over the best structure of this formula in the dataset in meV per atom: 0
# Uncorrected energy in eV per cell: -43.080
data_U2PaOs
_cell_length_a 5.0975
_cell_length_b 5.0975
_cell_length_c 3.0843
_cell_angle_alpha 90.00
_cell_angle_beta 90.00
_cell_angle_gamma 90.00
_space_group_name_H-M_alt 'P 4/m m m'
_space_group_IT_number 123
_space_group_name_Hall '-P 4 2'
loop_
_atom_site_label
_atom_site_type_symbol
_atom_site_fract_x
_atom_site_fract_y
_atom_site_fract_z
U1 U 0.0000 0.5000 0.0000
Pa1 Pa 0.0000 0.0000 0.5000
Os1 Os 0.5000 0.5000 0.5000

=====

[2]
# Pr4YEr10, optimized geometry, DFT PBE
# ΔE_f in eV/atom: 0.278
# Uncorrected energy in eV per cell: -134.093
data_Pr4YEr10
_cell_length_a 11.2614
_cell_length_b 11.2614
_cell_length_c 7.9861
_cell_angle_alpha 90.00
_cell_angle_beta 90.00
_cell_angle_gamma 90.00
_space_group_name_H-M_alt 'I 4/m m m'
_space_group_IT_number 139
_space_group_name_Hall '-I 4 2'
loop_
_atom_site_label
_atom_site_type_symbol
_atom_site_fract_x
_atom_site_fract_y
_atom_site_fract_z
Pr1 Pr 0.2269 0.2269 0.0000
Y1 Y 0.0000 0.0000 0.0000
Er1 Er 0.0000 0.2083 0.2952
Er2 Er 0.0000 0.5000 0.2500

=====

[3]
# Rb2CaGeBr6, optimized geometry, DFT PBE
# Formation energy (no corrections) in eV per atom: -1.470
# Uncorrected energy in eV per cell: -133.155
data_Rb2CaGeBr6
_cell_length_a 11.3366
_cell_length_b 11.3366
_cell_length_c 11.3366
_cell_angle_alpha 90.00
_cell_angle_beta 90.00
_cell_angle_gamma 90.00
_space_group_name_H-M_alt 'F m -3 m'
_space_group_IT_number 225
_space_group_name_Hall '-F 4 2 3'
loop_
_atom_site_label
_atom_site_type_symbol
_atom_site_fract_x
_atom_site_fract_y
_atom_site_fract_z
Rb1 Rb 0.2500 0.2500 0.2500
Ca1 Ca 0.0000 0.0000 0.0000
Ge1 Ge 0.0000 0.0000 0.5000
Br1 Br 0.0000 0.0000 0.2532

=====

[4]
# Nb2SbAuBr, optimized geometry, DFT PBE
# Formation energy (no corrections) in eV per atom: 1.350
# Uncorrected energy in eV per cell: -22.460
data_Nb2SbAuBr
_cell_length_a 5.3608
_cell_length_b 5.3608
_cell_length_c 5.1304
_cell_angle_alpha 90.00
_cell_angle_beta 90.00
_cell_angle_gamma 90.00
_space_group_name_H-M_alt 'P 4/m m m'
_space_group_IT_number 123
_space_group_name_Hall '-P 4 2'
loop_
_atom_site_label
_atom_site_type_symbol
_atom_site_fract_x
_atom_site_fract_y
_atom_site_fract_z
Nb1 Nb 0.0000 0.5000 0.0000
Sb1 Sb 0.0000 0.0000 0.5000
Au1 Au 0.0000 0.0000 0.0000
Br1 Br 0.5000 0.5000 0.5000

=====

[5]
# NaAuI2, optimized geometry, DFT PBE
# Excess energy over the best structure of this formula in the dataset in meV per atom: 176
# Formation energy (no corrections) in eV per atom: -0.451
# Uncorrected energy in eV per cell: -28.503
data_NaAuI2
_cell_length_a 4.4483
_cell_length_b 4.4483
_cell_length_c 22.4563
_cell_angle_alpha 90.00
_cell_angle_beta 90.00
_cell_angle_gamma 120.00
_space_group_name_H-M_alt 'R 3 m'
_space_group_IT_number 160
_space_group_name_Hall 'R 3 -2"'
loop_
_atom_site_label
_atom_site_type_symbol
_atom_site_fract_x
_atom_site_fract_y
_atom_site_fract_z
Na1 Na 0.0000 0.0000 0.0000
Au1 Au 0.0000 0.0000 0.8346
I1 I 0.0000 0.0000 0.2399
I2 I 0.0000 0.0000 0.4253

=====

[6]
# Y8Te3AsS3, optimized geometry, DFT PBE
# Formation energy (no corrections) in eV per atom: -1.535
# Uncorrected energy in eV per cell: -303.589
data_Y8Te3AsS3
_cell_length_a 8.1336
_cell_length_b 8.1336
_cell_length_c 20.7617
_cell_angle_alpha 90.00
_cell_angle_beta 90.00
_cell_angle_gamma 120.00
_space_group_name_H-M_alt 'R -3 m'
_space_group_IT_number 166
_space_group_name_Hall '-R 3 2"'
loop_
_atom_site_label
_atom_site_type_symbol
_atom_site_fract_x
_atom_site_fract_y
_atom_site_fract_z
Y1 Y 0.0000 0.0000 0.2337
Y2 Y 0.0101 0.5050 0.7611
Te1 Te 0.0000 0.5000 0.0000
As1 As 0.0000 0.0000 0.5000
S1 S 0.0000 0.5000 0.5000

=====

[7]
# AcLa4Sm15, optimized geometry, DFT PBE
# ΔE_f in eV/atom: 0.023
# Uncorrected energy in eV per cell: -94.138
data_AcLa4Sm15
_cell_length_a 5.2051
_cell_length_b 5.2051
_cell_length_c 25.8791
_cell_angle_alpha 90.00
_cell_angle_beta 90.00
_cell_angle_gamma 90.00
_space_group_name_H-M_alt 'P 4/m m m'
_space_group_IT_number 123
_space_group_name_Hall '-P 4 2'
loop_
_atom_site_label
_atom_site_type_symbol
_atom_site_fract_x
_atom_site_fract_y
_atom_site_fract_z
Ac1 Ac 0.0000 0.0000 0.0000
La1 La 0.0000 0.0000 0.2017
La2 La 0.0000 0.0000 0.4005
Sm1 Sm 0.0000 0.5000 0.1026
Sm2 Sm 0.0000 0.5000 0.3012
Sm3 Sm 0.0000 0.5000 0.5000
Sm4 Sm 0.5000 0.5000 0.0000
Sm5 Sm 0.5000 0.5000 0.2019
Sm6 Sm 0.5000 0.5000 0.4006

=====

[8]
# GaTeO2F, optimized geometry, DFT PBE
# Formation energy (no corrections) in eV per atom: -0.952
# Uncorrected energy in eV per cell: -22.717
data_GaTeO2F
_cell_length_a 3.9943
_cell_length_b 3.9943
_cell_length_c 3.9384
_cell_angle_alpha 90.00
_cell_angle_beta 90.00
_cell_angle_gamma 90.00
_space_group_name_H-M_alt 'P 4/m m m'
_space_group_IT_number 123
_space_group_name_Hall '-P 4 2'
loop_
_atom_site_label
_atom_site_type_symbol
_atom_site_fract_x
_atom_site_fract_y
_atom_site_fract_z
Ga1 Ga 0.0000 0.0000 0.0000
Te1 Te 0.5000 0.5000 0.5000
O1 O 0.0000 0.5000 0.0000
F1 F 0.0000 0.0000 0.5000

=====

[9]
# PmDyI5, optimized geometry, DFT PBE
# Formation energy (no corrections) in eV per atom: -1.335
# Uncorrected energy in eV per cell: -52.896
data_PmDyI5
_cell_length_a 9.3459
_cell_length_b 4.2373
_cell_length_c 14.8874
_cell_angle_alpha 90.00
_cell_angle_beta 95.28
_cell_angle_gamma 90.00
_space_group_name_H-M_alt 'P 1 21/m 1'
_space_group_IT_number 11
_space_group_name_Hall '-P 2yb'
loop_
_atom_site_label
_atom_site_type_symbol
_atom_site_fract_x
_atom_site_fract_y
_atom_site_fract_z
Pm1 Pm 0.1054 0.2500 0.1494
Dy1 Dy 0.4099 0.7500 0.3420
I1 I 0.0706 0.7500 0.3070
I2 I 0.1351 0.2500 0.9285
I3 I 0.3231 0.2500 0.4802
I4 I 0.3534 0.7500 0.1292
I5 I 0.3733 0.7500 0.7072

=====

[10]
# Dy3Y6In, optimized geometry, DFT PBE
# ΔE_f in eV/atom: -0.039
# Excess energy over the best structure of this formula in the dataset in meV per atom: 42
# Uncorrected energy in eV per cell: -111.442
data_Dy3Y6In
_cell_length_a 12.8714
_cell_length_b 3.5594
_cell_length_c 14.4546
_cell_angle_alpha 90.00
_cell_angle_beta 108.33
_cell_angle_gamma 90.00
_space_group_name_H-M_alt 'P 1 21/m 1'
_space_group_IT_number 11
_space_group_name_Hall '-P 2yb'
loop_
_atom_site_label
_atom_site_type_symbol
_atom_site_fract_x
_atom_site_fract_y
_atom_site_fract_z
Dy1 Dy 0.0100 0.2500 0.3977
Dy2 Dy 0.3772 0.2500 0.9962
Dy3 Dy 0.4672 0.2500 0.5910
Y1 Y 0.1361 0.7500 0.0236
Y2 Y 0.1416 0.2500 0.8078
Y3 Y 0.2183 0.2500 0.5992
Y4 Y 0.2516 0.7500 0.3920
Y5 Y 0.3371 0.2500 0.2166
Y6 Y 0.3859 0.7500 0.7901
In1 In 0.0787 0.2500 0.1971

=====

[11]
# NpBe4Co, optimized geometry, DFT PBE
# ΔE_f in eV/atom: 0.204
# Uncorrected energy in eV per cell: -134.921
data_NpBe4Co
_cell_length_a 6.5104
_cell_length_b 6.5104
_cell_length_c 6.5104
_cell_angle_alpha 90.00
_cell_angle_beta 90.00
_cell_angle_gamma 90.00
_space_group_name_H-M_alt 'F -4 3 m'
_space_group_IT_number 216
_space_group_name_Hall 'F -4 2 3'
loop_
_atom_site_label
_atom_site_type_symbol
_atom_site_fract_x
_atom_site_fract_y
_atom_site_fract_z
Np1 Np 0.0000 0.0000 0.0000
Be1 Be 0.1221 0.1221 0.3779
Co1 Co 0.2500 0.2500 0.7500

=====

[12]
# Rb2HoMg2Se4, optimized geometry, DFT PBE
# Formation energy (no corrections) in eV per atom: -1.285
# Uncorrected energy in eV per cell: -70.417
data_Rb2HoMg2Se4
_cell_length_a 16.0242
_cell_length_b 4.2642
_cell_length_c 8.2948
_cell_angle_alpha 90.00
_cell_angle_beta 107.57
_cell_angle_gamma 90.00
_space_group_name_H-M_alt 'C 1 2/m 1'
_space_group_IT_number 12
_space_group_name_Hall '-C 2y'
loop_
_atom_site_label
_atom_site_type_symbol
_atom_site_fract_x
_atom_site_fract_y
_atom_site_fract_z
Rb1 Rb 0.1259 0.0000 0.0410
Ho1 Ho 0.0000 0.0000 0.5000
Mg1 Mg 0.1712 0.5000 0.4775
Se1 Se 0.0171 0.5000 0.2701
Se2 Se 0.2003 0.0000 0.6698

=====

[13]
# ZrInCuS3, optimized geometry, DFT PBE
# Formation energy (no corrections) in eV per atom: -0.926
# Uncorrected energy in eV per cell: -66.637
data_ZrInCuS3
_cell_length_a 8.5484
_cell_length_b 3.7340
_cell_length_c 9.0139
_cell_angle_alpha 90.00
_cell_angle_beta 110.47
_cell_angle_gamma 90.00
_space_group_name_H-M_alt 'P 1 21/m 1'
_space_group_IT_number 11
_space_group_name_Hall '-P 2yb'
loop_
_atom_site_label
_atom_site_type_symbol
_atom_site_fract_x
_atom_site_fract_y
_atom_site_fract_z
Zr1 Zr 0.1838 0.2500 0.1635
In1 In 0.2854 0.7500 0.7513
Cu1 Cu 0.4170 0.7500 0.3970
S1 S 0.0349 0.2500 0.8482
S2 S 0.2854 0.2500 0.4624
S3 S 0.3795 0.7500 0.1303

=====

[14]
# Pr2Sn4Ir3Au, optimized geometry, DFT PBE
# ΔE_f in eV/atom: -0.539
# Uncorrected energy in eV per cell: -60.822
data_Pr2Sn4Ir3Au
_cell_length_a 4.5708
_cell_length_b 4.5708
_cell_length_c 10.8612
_cell_angle_alpha 90.00
_cell_angle_beta 90.00
_cell_angle_gamma 90.00
_space_group_name_H-M_alt 'P -4 m 2'
_space_group_IT_number 115
_space_group_name_Hall 'P -4 -2'
loop_
_atom_site_label
_atom_site_type_symbol
_atom_site_fract_x
_atom_site_fract_y
_atom_site_fract_z
Pr1 Pr 0.0000 0.5000 0.2444
Sn1 Sn 0.0000 0.0000 0.0000
Sn2 Sn 0.0000 0.5000 0.6349
Sn3 Sn 0.5000 0.5000 0.0000
Ir1 Ir 0.0000 0.5000 0.8721
Ir2 Ir 0.5000 0.5000 0.5000
Au1 Au 0.0000 0.0000 0.5000